# NbMoRh3

Crystalline NbMoRh3 at its relaxed geometry (PBE, Alexandria via LeMat-Bulk).

Cell and atoms, written as POSCAR:
```
NbMoRh3
1.0
6.583 0.000 0.000
0.000 7.014 0.000
0.000 0.000 6.947
Mo Rh Nb
4 12 4
Direct
0.500 0.000 0.500 Mo
0.000 0.500 0.500 Mo
0.000 0.500 0.000 Mo
0.500 0.000 0.000 Mo
0.144 0.200 0.750 Rh
0.361 0.351 0.053 Rh
0.644 0.300 0.750 Rh
0.639 0.649 0.947 Rh
0.639 0.649 0.553 Rh
0.356 0.700 0.250 Rh
0.139 0.851 0.553 Rh
0.856 0.800 0.250 Rh
0.861 0.149 0.053 Rh
0.361 0.351 0.447 Rh
0.861 0.149 0.447 Rh
0.139 0.851 0.947 Rh
0.809 0.928 0.750 Nb
0.691 0.428 0.250 Nb
0.309 0.572 0.750 Nb
0.191 0.072 0.250 Nb
```

Calculated values
- Crystal system: orthorhombic
- Formation energy from the elements: 0.009 eV per atom

=====

# NdCu8Pt3

Crystalline NdCu8Pt3 at its relaxed geometry (PBE, Alexandria via LeMat-Bulk).

Cell and atoms, written as POSCAR:
```
NdCu8Pt3
1.0
4.934 0.000 0.000
-2.467 4.273 0.000
0.000 0.000 8.087
Cu Pt Nd
8 3 1
Direct
0.165 0.835 0.238 Cu
0.504 0.007 0.764 Cu
0.333 0.667 0.999 Cu
0.333 0.667 0.499 Cu
0.993 0.496 0.764 Cu
0.504 0.496 0.764 Cu
0.165 0.330 0.238 Cu
0.670 0.835 0.238 Cu
0.667 0.333 0.066 Pt
0.000 0.000 0.943 Pt
0.667 0.333 0.418 Pt
0.000 0.000 0.567 Nd
```

Calculated values
- Crystal system: trigonal
- Formation energy from the elements: -0.190 eV per atom